one.
LiCu2Br | GGA-PBE | relaxed

Output
Its total moment is 0.00 μB/atom. The value obtained for the volume is 72 Å³ per cell. The theoretical density is 4.96 g/cm3.

Unit cell a=3.3617 b=3.3606 c=6.3397 alpha=90.00 beta=90.00 gamma=90.00
Last column: nearest neighbours and their distance in Å.
Fractional coordinates of all 4 atoms:
Br 0.5000 0.5000 0.6515  4 Li 2.53, 1 Cu 2.68
Cu 0.5000 0.5000 0.2282  4 Cu 2.50, 1 Br 2.68
Cu 0.0000 0.0000 0.1044  4 Cu 2.50, 1 Li 2.61
Li 0.0000 0.0000 0.5159  4 Br 2.53, 1 Cu 2.61


two.
LiCu2Br | GGA-PBE | relaxed

Output
Its total moment is 0.00 μB/atom. The value obtained for the volume is 75 Å³ per cell. The theoretical density is 4.75 g/cm3.

Unit cell a=6.1770 b=6.1770 c=6.1770 alpha=146.55 beta=144.70 gamma=49.42
Last column: nearest neighbours and their distance in Å.
Fractional coordinates of all 4 atoms:
Cu 0.9810 0.9810 0.0000  2 Cu 2.39, 4 Li 2.60
Cu 0.8382 0.3382 0.5000  2 Cu 2.39
Br 0.1693 0.6693 0.5000  2 Li 2.58, 2 Cu 2.76
Li 0.5116 0.5116 0.0000  2 Br 2.58, 6 Cu 2.60-2.70


three.
LiCu2Br | GGA-PBE | relaxed

Output
Its total moment is 0.00 μB/atom. The value obtained for the volume is 70 Å³ per cell. The theoretical density is 5.09 g/cm3.

Unit cell a=3.0661 b=3.0661 c=8.3986 alpha=90.00 beta=90.00 gamma=117.89
Last column: nearest neighbours and their distance in Å.
Fractional coordinates of all 4 atoms:
Cu 0.0000 0.0000 0.4969  2 Li 2.61, 2 Br 2.65
Cu 0.0000 0.0000 0.0031  2 Li 2.61, 2 Br 2.65
Br 0.5000 0.5000 0.7500  4 Cu 2.65
Li 0.5000 0.5000 0.2500  4 Cu 2.61


four.
LiCu2Br | GGA-PBE | relaxed

Output
Its total moment is 0.00 μB/atom. The value obtained for the volume is 68 Å³ per cell. The theoretical density is 5.24 g/cm3.

Unit cell a=3.3113 b=3.3695 c=6.3152 alpha=74.34 beta=90.00 gamma=90.00
Last column: nearest neighbours and their distance in Å.
Fractional coordinates of all 4 atoms:
Cu 0.5000 0.2018 0.2220  4 Cu 2.51, 1 Br 2.79
Cu 0.0000 0.7729 0.0825  4 Cu 2.51, 1 Li 2.63
Br 0.5000 0.9707 0.6810  4 Li 2.57, 1 Cu 2.79
Li 0.0000 0.5546 0.5146  4 Br 2.57, 1 Cu 2.63


It is four that is the most stable of them.


one.
LiCu2Br | GGA-PBE | relaxed

Output
Its total moment is 0.00 μB/atom. The value obtained for the volume is 73 Å³ per cell. The theoretical density is 4.84 g/cm3.

Unit cell a=6.6372 b=6.6372 c=3.4504 alpha=104.96 beta=104.96 gamma=30.09
Last column: nearest neighbours and their distance in Å.
Fractional coordinates of all 4 atoms:
Li 0.7500 0.7500 0.7500  4 Br 2.44
Br 0.2500 0.2500 0.2500  4 Li 2.44
Cu 0.4730 0.4730 0.4734  4 Cu 2.53, 1 Br 2.75
Cu 0.0270 0.0270 0.0266  4 Cu 2.53, 1 Br 2.75


two.
LiCu2Br | GGA-PBE | relaxed

Output
Its total moment is 0.00 μB/atom. The value obtained for the volume is 81 Å³ per cell. The theoretical density is 4.41 g/cm3.

Unit cell a=7.0823 b=7.0823 c=7.0823 alpha=151.52 beta=151.52 gamma=40.72
Last column: nearest neighbours and their distance in Å.
Fractional coordinates of all 4 atoms:
Br 0.7500 0.2500 0.5000  4 Li 2.46
Cu 0.0000 0.0000 0.0000  4 Cu 2.46
Cu 0.5000 0.5000 0.0000  4 Cu 2.46
Li 0.2500 0.7500 0.5000  4 Br 2.46


It is one that is the most stable of them.


one.
LiCu2Br | GGA-PBE | relaxed

Output
Its total moment is 0.00 μB/atom. The value obtained for the volume is 65 Å³ per cell. The theoretical density is 5.43 g/cm3.

Unit cell a=3.5160 b=3.5160 c=5.2911 alpha=90.00 beta=90.00 gamma=90.00
Last column: nearest neighbours and their distance in Å.
Fractional coordinates of all 4 atoms:
Br 0.5000 0.5000 0.7500  2 Li 2.65, 8 Cu 2.89
Cu 0.0000 0.0000 0.0275  1 Cu 2.35
Cu 0.0000 0.0000 0.4725  1 Cu 2.35
Li 0.5000 0.5000 0.2500  2 Br 2.65, 8 Cu 2.75


two.
LiCu2Br | GGA-PBE | relaxed

Output
Its total moment is 0.00 μB/atom. The value obtained for the volume is 66 Å³ per cell. The theoretical density is 5.35 g/cm3.

Unit cell a=4.5449 b=4.5449 c=4.5449 alpha=60.00 beta=60.00 gamma=60.00
Last column: nearest neighbours and their distance in Å.
Fractional coordinates of all 4 atoms:
Cu 0.7500 0.7500 0.7500  4 Br 2.78, 4 Li 2.78
Cu 0.2500 0.2500 0.2500  4 Br 2.78, 4 Li 2.78
Li 0.0000 0.0000 0.0000  8 Cu 2.78
Br 0.5000 0.5000 0.5000  8 Cu 2.78


three.
LiCu2Br | GGA-PBE | relaxed

Output
Its total moment is 0.00 μB/atom. The value obtained for the volume is 73 Å³ per cell. The theoretical density is 4.85 g/cm3.

Unit cell a=5.9950 b=3.4962 c=3.4962 alpha=90.00 beta=90.00 gamma=90.00
Last column: nearest neighbours and their distance in Å.
Fractional coordinates of all 4 atoms:
Li 0.5000 0.5000 0.0000  4 Br 2.47
Br 0.5000 0.0000 0.5000  4 Li 2.47
Cu 0.0000 0.0000 0.0000  4 Cu 2.47
Cu 0.0000 0.5000 0.5000  4 Cu 2.47


four.
LiCu2Br | GGA-PBE | relaxed

Output
Its total moment is 0.00 μB/atom. The value obtained for the volume is 156 Å³ per cell. The theoretical density is 4.54 g/cm3.

Unit cell a=8.0981 b=8.0981 c=6.2034 alpha=49.25 beta=49.25 gamma=90.00
Last column: nearest neighbours and their distance in Å.
Fractional coordinates of all 8 atoms:
Cu 0.6738 0.1250 0.2500  2 Cu 2.51, 2 Br 2.67
Cu 0.0762 0.6250 0.2500  2 Cu 2.51, 2 Br 2.67
Cu 0.3750 0.3262 0.7500  2 Cu 2.51, 2 Br 2.67
Cu 0.8750 0.9238 0.7500  2 Cu 2.51, 2 Br 2.67
Li 0.2500 0.7500 0.5000  2 Br 2.39
Li 0.5000 0.5000 0.0000  2 Br 2.39
Br 0.7500 0.2500 0.5000  2 Li 2.39, 4 Cu 2.67
Br 0.0000 0.0000 0.0000  2 Li 2.39, 4 Cu 2.67


It is three that is the most stable of them.


one.
LiCu2Br | GGA-PBE | relaxed

Output
Its total moment is 0.00 μB/atom. The value obtained for the volume is 72 Å³ per cell. The theoretical density is 4.96 g/cm3.

Unit cell a=7.7672 b=7.7672 c=7.7672 alpha=24.65 beta=24.65 gamma=24.65
Last column: nearest neighbours and their distance in Å.
Fractional coordinates of all 4 atoms:
Cu 0.4995 0.4995 0.4995  3 Br 2.68, 3 Li 2.69
Cu 0.0005 0.0005 0.0005  3 Br 2.68, 3 Li 2.69
Br 0.7500 0.7500 0.7500  6 Cu 2.68
Li 0.2500 0.2500 0.2500  6 Cu 2.69


two.
LiCu2Br | GGA-PBE | relaxed

Output
Its total moment is 0.00 μB/atom. The value obtained for the volume is 66 Å³ per cell. The theoretical density is 5.37 g/cm3.

Unit cell a=4.5405 b=4.5405 c=4.5405 alpha=60.00 beta=60.00 gamma=60.00
Last column: nearest neighbours and their distance in Å.
Fractional coordinates of all 4 atoms:
Br 0.5000 0.5000 0.5000  4 Cu 2.78, 4 Li 2.78
Li 0.2500 0.2500 0.2500  4 Br 2.78, 4 Cu 2.78
Cu 0.7500 0.7500 0.7500  4 Br 2.78, 4 Cu 2.78
Cu 0.0000 0.0000 0.0000  4 Li 2.78, 4 Cu 2.78


It is two that is the most stable of them.


one.
Li2CuBr | GGA-PBE | relaxed

Output
Its total moment is 0.00 μB/atom. The value obtained for the volume is 78 Å³ per cell. The theoretical density is 3.35 g/cm3.

Unit cell a=3.6389 b=3.6389 c=5.8938 alpha=90.00 beta=90.00 gamma=90.05
Last column: nearest neighbours and their distance in Å.
Fractional coordinates of all 4 atoms:
Cu 0.5000 0.5000 0.8471  5 Li 2.65-2.67
Br 0.0000 0.0000 0.3984  5 Li 2.62-2.64
Li 0.5000 0.5000 0.2998  4 Br 2.64, 1 Cu 2.67
Li 0.0000 0.0000 0.9547  1 Br 2.62, 4 Cu 2.65


two.
Li2CuBr | GGA-PBE | relaxed

Output
Its total moment is 0.00 μB/atom. The value obtained for the volume is 76 Å³ per cell. The theoretical density is 3.46 g/cm3.

Unit cell a=4.7447 b=4.7447 c=4.7447 alpha=60.00 beta=60.00 gamma=60.00
Last column: nearest neighbours and their distance in Å.
Fractional coordinates of all 4 atoms:
Br 0.5000 0.5000 0.5000  4 Cu 2.91, 4 Li 2.91
Li 0.2500 0.2500 0.2500  4 Br 2.91, 4 Li 2.91
Li 0.0000 0.0000 0.0000  4 Li 2.91, 4 Cu 2.91
Cu 0.7500 0.7500 0.7500  4 Br 2.91, 4 Li 2.91


three.
Li2CuBr | GGA-PBE | relaxed

Output
Its total moment is 0.00 μB/atom. The value obtained for the volume is 75 Å³ per cell. The theoretical density is 3.48 g/cm3.

Unit cell a=4.7362 b=4.7362 c=4.7362 alpha=60.00 beta=60.00 gamma=60.00
Last column: nearest neighbours and their distance in Å.
Fractional coordinates of all 4 atoms:
Li 0.7500 0.7500 0.7500  4 Br 2.90, 4 Cu 2.90
Li 0.2500 0.2500 0.2500  4 Br 2.90, 4 Cu 2.90
Cu 0.0000 0.0000 0.0000  8 Li 2.90
Br 0.5000 0.5000 0.5000  8 Li 2.90


four.
Li2CuBr | GGA-PBE | relaxed

Output
Its total moment is 0.00 μB/atom. The value obtained for the volume is 183 Å³ per cell. The theoretical density is 2.86 g/cm3.

Unit cell a=6.6526 b=6.6526 c=6.2563 alpha=57.88 beta=57.88 gamma=90.00
Last column: nearest neighbours and their distance in Å.
Fractional coordinates of all 8 atoms:
Br 0.0000 0.0000 0.0000  4 Li 2.51
Br 0.7500 0.2500 0.5000  4 Li 2.51
Li 0.8750 0.8888 0.7500  2 Br 2.51, 2 Cu 2.63
Li 0.6388 0.1250 0.2500  2 Br 2.51, 2 Cu 2.63
Li 0.3750 0.3612 0.7500  2 Br 2.51, 2 Cu 2.63
Li 0.1112 0.6250 0.2500  2 Br 2.51, 2 Cu 2.63
Cu 0.2500 0.7500 0.5000  4 Li 2.63
Cu 0.5000 0.5000 0.0000  4 Li 2.63


It is one that is the most stable of them.


one.
Li2CuBr | GGA-PBE | relaxed

Output
Its total moment is 0.00 μB/atom. The value obtained for the volume is 79 Å³ per cell. The theoretical density is 3.29 g/cm3.

Unit cell a=6.7462 b=6.7462 c=3.5692 alpha=74.13 beta=74.13 gamma=30.68
Last column: nearest neighbours and their distance in Å.
Fractional coordinates of all 4 atoms:
Cu 0.2665 0.2665 0.9783  5 Li 2.67-2.71, 1 Br 2.77
Br 0.4884 0.4884 0.7663  5 Li 2.59-2.64, 1 Cu 2.77
Li 0.0491 0.0491 0.2040  4 Br 2.63-2.64, 1 Cu 2.71
Li 0.6960 0.6960 0.5513  1 Br 2.59, 4 Cu 2.67


two.
Li2CuBr | GGA-PBE | relaxed

Output
Its total moment is 0.00 μB/atom. The value obtained for the volume is 69 Å³ per cell. The theoretical density is 3.80 g/cm3.

Unit cell a=7.2458 b=4.5407 c=3.3359 alpha=90.02 beta=62.56 gamma=128.95
Last column: nearest neighbours and their distance in Å.
Fractional coordinates of all 4 atoms:
Li 0.5000 0.0000 0.5000  4 Br 2.82, 4 Cu 2.82
Li 0.0000 0.0000 0.0000  4 Cu 2.82, 4 Br 2.82
Cu 0.5000 0.5000 0.0000  8 Li 2.82
Br 0.0000 0.5000 0.5000  8 Li 2.82


three.
Li2CuBr | GGA-PBE | relaxed

Output
Its total moment is 0.00 μB/atom. The value obtained for the volume is 94 Å³ per cell. The theoretical density is 2.79 g/cm3.

Unit cell a=5.3489 b=5.3489 c=5.3489 alpha=139.27 beta=98.34 gamma=95.57
Last column: nearest neighbours and their distance in Å.
Fractional coordinates of all 4 atoms:
Li 0.9929 0.9929 0.0000  2 Br 2.55, 2 Cu 2.62
Li 0.5071 0.5071 0.0000  2 Br 2.55, 2 Cu 2.62
Br 0.7500 0.2500 0.5000  4 Li 2.55
Cu 0.2500 0.7500 0.5000  4 Li 2.62


It is one that is the most stable of them.


one.
Li2CuBr | GGA-PBE | relaxed

Output
Its total moment is 0.00 μB/atom. The value obtained for the volume is 77 Å³ per cell. The theoretical density is 3.38 g/cm3.

Unit cell a=3.7047 b=3.7047 c=6.8455 alpha=74.24 beta=74.24 gamma=60.17
Last column: nearest neighbours and their distance in Å.
Fractional coordinates of all 4 atoms:
Li 0.4978 0.4978 0.5058  3 Br 2.66-2.67, 3 Cu 2.71
Li 0.0022 0.0022 0.9942  3 Br 2.66-2.67, 3 Cu 2.71
Cu 0.2500 0.2500 0.2500  6 Li 2.71
Br 0.7500 0.7500 0.7500  6 Li 2.66-2.67


two.
Li2CuBr | GGA-PBE | relaxed

Output
Its total moment is 0.00 μB/atom. The value obtained for the volume is 70 Å³ per cell. The theoretical density is 3.75 g/cm3.

Unit cell a=3.2944 b=3.3485 c=7.1572 alpha=61.81 beta=90.00 gamma=90.00
Last column: nearest neighbours and their distance in Å.
Fractional coordinates of all 4 atoms:
Cu 0.5000 0.7500 0.7500  8 Li 2.81
Br 0.5000 0.2500 0.2500  8 Li 2.84-2.86, 2 Cu 3.15
Li 0.0000 0.4960 0.5062  4 Cu 2.81, 4 Br 2.84-2.86, 1 Li 3.08
Li 0.0000 0.0040 0.9938  4 Cu 2.81, 4 Br 2.84-2.86, 1 Li 3.08


three.
Li2CuBr | GGA-PBE | relaxed

Output
Its total moment is 0.00 μB/atom. The value obtained for the volume is 78 Å³ per cell. The theoretical density is 3.36 g/cm3.

Unit cell a=6.9487 b=6.9487 c=6.9487 alpha=151.65 beta=150.71 gamma=41.22
Last column: nearest neighbours and their distance in Å.
Fractional coordinates of all 4 atoms:
Li 0.7046 0.2046 0.5000  4 Cu 2.72, 2 Br 2.72
Li 0.9589 0.9589 0.0000  4 Br 2.67, 2 Cu 2.76
Cu 0.2954 0.7954 0.5000  6 Li 2.72-2.76
Br 0.5412 0.5412 0.0000  6 Li 2.67-2.72


It is one that is the most stable of them.


one.
Li2CuBrO | GGA-PBE | relaxed

Output
Its total moment is 0.16 μB/atom. The value obtained for the volume is 112 Å³ per cell. The theoretical density is 2.57 g/cm3.

Unit cell a=4.9485 b=4.5675 c=4.9485 alpha=90.00 beta=90.00 gamma=90.00
Last column: nearest neighbours and their distance in Å.
Fractional coordinates of all 5 atoms:
Li 0.0000 0.0000 0.5000  2 Cu 2.47
Li 0.5000 0.0000 0.0000  2 Cu 2.47
Cu 0.0000 0.0000 0.0000  2 Br 2.28, 4 Li 2.47
Br 0.0000 0.5000 0.0000  2 Cu 2.28
O 0.5000 0.5000 0.5000  8 Li 3.37, 4 Br 3.50


two.
Li2CuBrO | GGA-PBE | relaxed

Output
Its total moment is 0.00 μB/atom. The value obtained for the volume is 70 Å³ per cell. The theoretical density is 4.13 g/cm3.

Unit cell a=4.2916 b=4.2916 c=3.7825 alpha=90.00 beta=90.00 gamma=90.00
Last column: nearest neighbours and their distance in Å.
Fractional coordinates of all 5 atoms:
Cu 0.0000 0.0000 0.5000  2 O 1.89
Li 0.0000 0.5000 0.0000  2 O 2.15
Li 0.5000 0.0000 0.0000  2 O 2.15
O 0.0000 0.0000 0.0000  2 Cu 1.89
Br 0.5000 0.5000 0.5000  8 Li 2.86, 4 Cu 3.03


It is two that is the most stable of them.


one.
Sr2LiCuBrO2 | GGA-PBE | relaxed

Output
Its total moment is 0.14 μB/atom. The value obtained for the volume is 143 Å³ per cell. The theoretical density is 4.14 g/cm3.

Unit cell a=10.2881 b=10.2881 c=10.2881 alpha=22.80 beta=22.80 gamma=22.80
Last column: nearest neighbours and their distance in Å.
Fractional coordinates of all 7 atoms:
Sr 0.7532 0.7532 0.7532  3 O 2.41
Sr 0.2639 0.2639 0.2639  3 O 2.53
Br 0.0029 0.0029 0.0029  6 Sr 3.20-3.44
O 0.4379 0.4379 0.4379  1 Cu 1.87
O 0.5661 0.5661 0.5661  1 Cu 1.98
Cu 0.5002 0.5002 0.5002  2 O 1.87-1.98
Li 0.8633 0.8633 0.8633  3 Cu 2.51, 3 O 2.59


two.
Sr2LiCuBrO2 | GGA-PBE | relaxed

Output
Its total moment is 0.13 μB/atom. The value obtained for the volume is 154 Å³ per cell. The theoretical density is 3.87 g/cm3.

Unit cell a=4.2424 b=4.2424 c=10.2124 alpha=77.34 beta=77.34 gamma=59.68
Last column: nearest neighbours and their distance in Å.
Fractional coordinates of all 7 atoms:
Br 0.9767 0.9767 0.9830  3 Li 2.62-2.63
O 0.4084 0.4084 0.6963  1 Li 1.88, 1 Cu 1.97
O 0.5451 0.5451 0.3081  1 Cu 1.86
Sr 0.7485 0.7485 0.6743  3 O 2.45-2.46
Sr 0.2226 0.2226 0.2797  3 O 2.46
Li 0.3419 0.3419 0.8869  1 O 1.88
Cu 0.4787 0.4787 0.4966  2 O 1.86-1.97


It is two that is the most stable of them.


one.
MgCu3Br | GGA-PBE | relaxed

Output
Its total moment is 0.00 μB/atom. The value obtained for the volume is 109 Å³ per cell. The theoretical density is 4.47 g/cm3.

Unit cell a=4.7832 b=4.7832 c=4.7832 alpha=90.00 beta=90.00 gamma=90.00
Last column: nearest neighbours and their distance in Å.
Fractional coordinates of all 5 atoms:
Cu 0.0000 0.5000 0.0000  2 Mg 2.39
Cu 0.5000 0.0000 0.0000  2 Mg 2.39
Cu 0.0000 0.0000 0.5000  2 Mg 2.39
Mg 0.0000 0.0000 0.0000  6 Cu 2.39
Br 0.5000 0.5000 0.5000  12 Cu 3.38


two.
MgCu3Br | GGA-PBE | relaxed

Output
Its total moment is 0.00 μB/atom. The value obtained for the volume is 108 Å³ per cell. The theoretical density is 4.55 g/cm3.

Unit cell a=4.7560 b=4.7560 c=4.7560 alpha=90.00 beta=90.00 gamma=90.00
Last column: nearest neighbours and their distance in Å.
Fractional coordinates of all 5 atoms:
Br 0.0000 0.0000 0.0000  6 Cu 2.38
Cu 0.0000 0.5000 0.0000  2 Br 2.38
Cu 0.5000 0.0000 0.0000  2 Br 2.38
Cu 0.0000 0.0000 0.5000  2 Br 2.38
Mg 0.5000 0.5000 0.5000  12 Cu 3.36


It is two that is the most stable of them.